# Ac5Te4Rh PBE relaxed
# - Formation energy without anion corrections: -1.31 eV/atom
data_Ac5Te4Rh
_cell_length_a 4.6804
_cell_length_b 4.6804
_cell_length_c 32.9839
_cell_angle_alpha 90.00
_cell_angle_beta 90.00
_cell_angle_gamma 90.00
_symmetry_space_group_name_H-M 'I 4/m m m'
_symmetry_Int_Tables_number 139
_symmetry_space_group_name_Hall '-I 4 2'
loop_
_atom_site_label
_atom_site_type_symbol
_atom_site_fract_x
_atom_site_fract_y
_atom_site_fract_z
Ac1 Ac 0.0000 0.0000 0.0000
Ac2 Ac 0.0000 0.0000 0.2056
Ac3 Ac 0.0000 0.0000 0.4137
Te1 Te 0.0000 0.0000 0.1030
Te2 Te 0.0000 0.0000 0.3083
Rh1 Rh 0.0000 0.0000 0.5000



# Cs2Ti2Rh PBE relaxed
# - Calculated formation energy: 664.1 meV per atom
data_Cs2Ti2Rh
_cell_length_a 6.6727
_cell_length_b 6.6727
_cell_length_c 6.7310
_cell_angle_alpha 90.00
_cell_angle_beta 90.00
_cell_angle_gamma 90.00
_symmetry_space_group_name_H-M 'P 4/m b m'
_symmetry_Int_Tables_number 127
_symmetry_space_group_name_Hall '-P 4 2ab'
loop_
_atom_site_label
_atom_site_type_symbol
_atom_site_fract_x
_atom_site_fract_y
_atom_site_fract_z
Cs1 Cs 0.1930 0.3070 0.0000
Ti1 Ti 0.1636 0.6636 0.5000
Rh1 Rh 0.0000 0.0000 0.5000



Going through the records in order, we get E values of -5.353 -4.306 eV/atom.